Lu2ScV, optimized geometry, DFT GGA-PBE; E above lowest polymorph = 0 meV per atom; crystal system = tetragonal; Fermi-level density of states = 6.82 states/eV per cell; DFT total energy = -5.9169 eV per atom
1.0
3.509 0.000 0.000
0.000 3.509 0.000
0.000 0.000 7.962
Lu Sc V
2 1 1
Cartesian
0.000 0.000 1.682 Lu
0.000 0.000 6.280 Lu
1.754 1.754 3.981 Sc
1.754 1.754 0.000 V